Record 1
DFT (PBE-GGA) results for a relaxed RbY2Ga crystal.

magnetic moment: 0.00 μB per cell
DOS at the Fermi energy: 3.4 states/eV/cell
DFT formation energy: 2.33 eV per formula unit

a b c (Å): 10.2438 10.2438 10.2438
angles (deg): 141.39 141.39 55.74
Positions (direct):
Rb 0.3750 0.6250 0.7500
Rb 0.6250 0.3750 0.2500
Y 0.0000 0.0000 0.0000
Y 0.0000 0.0000 0.5000
Y 0.0000 0.5000 0.0000
Y 0.5000 0.0000 0.5000
Ga 0.1250 0.8750 0.2500
Ga 0.8750 0.1250 0.7500


Record 2
DFT (PBE-GGA) results for a relaxed HfMg2Pd2 crystal.

magnetic moment: 0.00 μB per cell
DOS at the Fermi energy: 3.0 states/eV/cell
DFT formation energy: -2.22 eV per formula unit

a b c (Å): 7.7625 7.7625 2.8981
angles (deg): 90.00 90.00 90.00
Positions (direct):
Hf 0.0000 0.0000 0.0000
Hf 0.5000 0.5000 0.0000
Mg 0.1245 0.3755 0.0000
Mg 0.3755 0.8755 0.0000
Mg 0.6245 0.1245 0.0000
Mg 0.8755 0.6245 0.0000
Pd 0.1755 0.6755 0.5000
Pd 0.3245 0.1755 0.5000
Pd 0.6755 0.8245 0.5000
Pd 0.8245 0.3245 0.5000


Record 3
DFT (PBE-GGA) results for a relaxed Zr2TiTl2 crystal.

magnetic moment: 3.92 μB per cell
DOS at the Fermi energy: 7.0 states/eV/cell
DFT formation energy: 1.71 eV per formula unit

a b c (Å): 8.5839 8.5839 3.2342
angles (deg): 90.00 90.00 90.00
Positions (direct):
Zr 0.1249 0.3751 0.0000
Zr 0.3751 0.8751 0.0000
Zr 0.6249 0.1249 0.0000
Zr 0.8751 0.6249 0.0000
Ti 0.0000 0.0000 0.0000
Ti 0.5000 0.5000 0.0000
Tl 0.1743 0.6743 0.5000
Tl 0.3257 0.1743 0.5000
Tl 0.6743 0.8257 0.5000
Tl 0.8257 0.3257 0.5000


Record 4
DFT (PBE-GGA) results for a relaxed TmCu3Te3 crystal.

magnetic moment: 0.00 μB per cell
uncorrected formation energy: -0.48 eV per atom

a b c (Å): 8.1943 8.1943 8.1943
angles (deg): 53.83 53.83 53.83
Positions (direct):
Tm 0.1613 0.1613 0.1613
Tm 0.8387 0.8387 0.8387
Cu 0.0237 0.3476 0.7476
Cu 0.2524 0.9763 0.6524
Cu 0.3476 0.7476 0.0237
Cu 0.6524 0.2524 0.9763
Cu 0.7476 0.0237 0.3476
Cu 0.9763 0.6524 0.2524
Te 0.0989 0.7302 0.4287
Te 0.2698 0.5713 0.9011
Te 0.4287 0.0989 0.7302
Te 0.5713 0.9011 0.2698
Te 0.7302 0.4287 0.0989
Te 0.9011 0.2698 0.5713


Record 5
DFT (PBE-GGA) results for a relaxed TiNbTc crystal.

magnetic moment: 0.00 μB per cell
DOS at the Fermi energy: 8.0 states/eV/cell
DFT formation energy: -0.87 eV per formula unit

a b c (Å): 4.4795 4.4795 5.5926
angles (deg): 90.00 90.00 120.00
Positions (direct):
Ti 0.0000 0.0000 0.0000
Ti 0.0000 0.0000 0.5000
Nb 0.3333 0.6667 0.3218
Nb 0.6667 0.3333 0.6782
Tc 0.3333 0.6667 0.8285
Tc 0.6667 0.3333 0.1715


Record 6
DFT (PBE-GGA) results for a relaxed LiCo2Cu crystal.

magnetic moment: 3.28 μB per cell
DOS at the Fermi energy: 3.4 states/eV/cell
DFT formation energy: 0.68 eV per formula unit

a b c (Å): 3.4096 3.4096 3.9208
angles (deg): 90.00 90.00 90.00
Positions (direct):
Li 0.0000 0.0000 0.0000
Co 0.0000 0.5000 0.5000
Co 0.5000 0.0000 0.5000
Cu 0.5000 0.5000 0.0000


Record 7
DFT (PBE-GGA) results for a relaxed BaZnRh2 crystal.

magnetic moment: 0.00 μB per cell
DOS at the Fermi energy: 2.5 states/eV/cell
DFT formation energy: 1.36 eV per formula unit

a b c (Å): 4.8660 4.8660 4.8660
angles (deg): 60.00 60.00 60.00
Positions (direct):
Ba 0.0000 0.0000 0.0000
Zn 0.7500 0.7500 0.7500
Rh 0.2500 0.2500 0.2500
Rh 0.5000 0.5000 0.5000


Record 8
DFT (PBE-GGA) results for a relaxed KTaSe2 crystal.

magnetic moment: 4.00 μB per cell
DOS at the Fermi energy: 1.6 states/eV/cell
uncorrected formation energy: -0.53 eV per atom

a b c (Å): 6.9148 6.9148 6.9148
angles (deg): 113.45 113.45 101.77
Positions (direct):
K 0.0000 0.0000 0.0000
K 0.7500 0.2500 0.5000
Ta 0.2500 0.7500 0.5000
Ta 0.5000 0.5000 0.0000
Se 0.2088 0.6250 0.0838
Se 0.3750 0.4588 0.5838
Se 0.5412 0.1250 0.9162
Se 0.8750 0.7912 0.4162


Record 9
DFT (PBE-GGA) results for a relaxed EuHgCl2 crystal.

magnetic moment: 7.00 μB per cell
DOS at the Fermi energy: 10.4 states/eV/cell
uncorrected formation energy: -1.60 eV per atom

a b c (Å): 3.6402 3.6402 9.8549
angles (deg): 90.00 90.00 90.00
Positions (direct):
Eu 0.0000 0.0000 0.0000
Hg 0.0000 0.0000 0.5000
Cl 0.5000 0.5000 0.1610
Cl 0.5000 0.5000 0.8390


Record 10
DFT (PBE-GGA) results for a relaxed NaTbTlIn crystal.

magnetic moment: 0.00 μB per cell
DOS at the Fermi energy: 2.0 states/eV/cell
DFT formation energy: -1.13 eV per formula unit

a b c (Å): 3.8610 5.2581 5.2855
angles (deg): 90.00 90.00 90.00
Positions (direct):
Na 0.0000 0.0000 0.0000
Tb 0.0000 0.5000 0.5000
Tl 0.5000 0.5000 0.0000
In 0.5000 0.0000 0.5000


Record 11
DFT (PBE-GGA) results for a relaxed DyPuHgO6 crystal.

magnetic moment: 2.00 μB per cell
DOS at the Fermi energy: 1.7 states/eV/cell
uncorrected formation energy: -2.16 eV per atom

a b c (Å): 5.1526 5.1526 10.2614
angles (deg): 90.00 90.00 90.00
Positions (direct):
Dy 0.0000 0.0000 0.0000
Dy 0.5000 0.5000 0.5000
Pu 0.0000 0.0000 0.6637
Pu 0.5000 0.5000 0.1637
Hg 0.0000 0.0000 0.3302
Hg 0.5000 0.5000 0.8302
O 0.1795 0.1795 0.8157
O 0.1940 0.1940 0.5215
O 0.2240 0.2240 0.1578
O 0.2760 0.7240 0.6578
O 0.3060 0.6940 0.0215
O 0.3205 0.6795 0.3157
O 0.6795 0.3205 0.3157
O 0.6940 0.3060 0.0215
O 0.7240 0.2760 0.6578
O 0.7760 0.7760 0.1578
O 0.8060 0.8060 0.5215
O 0.8205 0.8205 0.8157


Record 12
DFT (PBE-GGA) results for a relaxed Sm2ScCd4 crystal.

magnetic moment: 0.00 μB per cell
DOS at the Fermi energy: 6.6 states/eV/cell
DFT formation energy: -0.86 eV per formula unit

a b c (Å): 8.9961 8.9961 8.9961
angles (deg): 33.38 33.38 33.38
Positions (direct):
Sm 0.2502 0.2502 0.2502
Sm 0.7498 0.7498 0.7498
Sc 0.5000 0.5000 0.5000
Cd 0.1248 0.1248 0.1248
Cd 0.3752 0.3752 0.3752
Cd 0.6248 0.6248 0.6248
Cd 0.8752 0.8752 0.8752


Record 13
DFT (PBE-GGA) results for a relaxed InSbTe2O crystal.

magnetic moment: 0.00 μB per cell
DOS at the Fermi energy: 3.4 states/eV/cell
uncorrected formation energy: 0.04 eV per atom

a b c (Å): 4.9174 4.9174 4.9821
angles (deg): 90.00 90.00 90.00
Positions (direct):
In 0.0000 0.0000 0.0000
Sb 0.5000 0.5000 0.0000
Te 0.0000 0.5000 0.5000
Te 0.5000 0.0000 0.5000
O 0.5000 0.5000 0.5000


Record 14
DFT (PBE-GGA) results for a relaxed Ce2DyPd9 crystal.

magnetic moment: 0.66 μB per cell
DOS at the Fermi energy: 7.4 states/eV/cell
DFT formation energy: -10.34 eV per formula unit

a b c (Å): 4.1428 4.1428 12.4220
angles (deg): 90.00 90.00 90.00
Positions (direct):
Ce 0.0000 0.0000 0.1693
Ce 0.0000 0.0000 0.8307
Dy 0.0000 0.0000 0.5000
Pd 0.0000 0.5000 0.0000
Pd 0.0000 0.5000 0.3329
Pd 0.0000 0.5000 0.6671
Pd 0.5000 0.0000 0.0000
Pd 0.5000 0.0000 0.3329
Pd 0.5000 0.0000 0.6671
Pd 0.5000 0.5000 0.1668
Pd 0.5000 0.5000 0.5000
Pd 0.5000 0.5000 0.8332


Record 15
DFT (PBE-GGA) results for a relaxed BeCrTc crystal.

magnetic moment: 0.00 μB per cell
DOS at the Fermi energy: 4.2 states/eV/cell
DFT formation energy: -0.12 eV per formula unit

a b c (Å): 3.9921 6.1022 6.1022
angles (deg): 27.99 90.00 90.00
Positions (direct):
Be 0.0000 0.0000 0.0000
Be 0.5000 0.1989 0.1989
Cr 0.0000 0.3292 0.3292
Cr 0.0000 0.6706 0.6706
Tc 0.5000 0.5397 0.5397
Tc 0.5000 0.8571 0.8571


Record 16
DFT (PBE-GGA) results for a relaxed SbW5 crystal.

magnetic moment: 0.00 μB per cell
DOS at the Fermi energy: 3.2 states/eV/cell
uncorrected formation energy: 0.32 eV per atom

a b c (Å): 7.0985 7.0985 4.4747
angles (deg): 90.00 90.00 153.53
Positions (direct):
Sb 0.0000 0.0000 0.0000
W 0.1680 0.8320 0.5000
W 0.3279 0.6721 0.0000
W 0.5000 0.5000 0.5000
W 0.6721 0.3279 0.0000
W 0.8320 0.1680 0.5000


Record 17
DFT (PBE-GGA) results for a relaxed CuMo2RuCl crystal.

magnetic moment: 3.27 μB per cell
DOS at the Fermi energy: 8.4 states/eV/cell
uncorrected formation energy: 1.95 eV per atom

a b c (Å): 4.6196 4.6196 4.5823
angles (deg): 90.00 90.00 90.00
Positions (direct):
Cu 0.0000 0.0000 0.0000
Mo 0.0000 0.5000 0.0000
Mo 0.5000 0.0000 0.0000
Ru 0.0000 0.0000 0.5000
Cl 0.5000 0.5000 0.5000


Record 18
DFT (PBE-GGA) results for a relaxed In2RuPt crystal.

magnetic moment: 0.00 μB per cell
DOS at the Fermi energy: 1.0 states/eV/cell
DFT formation energy: -0.80 eV per formula unit

a b c (Å): 3.3294 3.3294 6.2859
angles (deg): 90.00 90.00 90.00
Positions (direct):
In 0.0000 0.0000 0.2428
In 0.0000 0.0000 0.7572
Ru 0.5000 0.5000 0.0000
Pt 0.5000 0.5000 0.5000


Record 19
DFT (PBE-GGA) results for a relaxed Tl6HgH2 crystal.

electronic total energy: -0.1589 Ry per atom
magnetic moment: 0.00 μB per cell
DOS at the Fermi energy: 3.8 states/eV/cell

a b c (Å): 8.9610 8.9610 3.3710
angles (deg): 91.31 91.31 120.37
Positions (direct):
Tl 0.1893 0.4395 0.5416
Tl 0.1970 0.8030 0.0000
Tl 0.4395 0.1893 0.5416
Tl 0.5605 0.8107 0.4584
Tl 0.8030 0.1970 0.0000
Tl 0.8107 0.5605 0.4584
Hg 0.0000 0.0000 0.5000
H 0.3505 0.3505 0.7125
H 0.6495 0.6495 0.2875


Record 20
DFT (PBE-GGA) results for a relaxed Rb2Cd2TeO6 crystal.

magnetic moment: 0.00 μB per cell
DOS at the Fermi energy: 0.0 states/eV/cell
uncorrected formation energy: -1.28 eV per atom

a b c (Å): 5.7698 5.7698 6.9292
angles (deg): 99.47 99.47 118.50
Positions (direct):
Rb 0.1765 0.8235 0.0000
Rb 0.8235 0.1765 0.0000
Cd 0.3355 0.6645 0.5000
Cd 0.6645 0.3355 0.5000
Te 0.0000 0.0000 0.5000
O 0.0584 0.3451 0.6717
O 0.2179 0.2179 0.3325
O 0.3451 0.0584 0.6717
O 0.6549 0.9416 0.3283
O 0.7821 0.7821 0.6675
O 0.9416 0.6549 0.3283


Record 21
DFT (PBE-GGA) results for a relaxed Cs4RbHg crystal.

magnetic moment: 0.00 μB per cell
DOS at the Fermi energy: 5.1 states/eV/cell
DFT formation energy: 0.55 eV per formula unit

a b c (Å): 9.7296 9.7296 9.7296
angles (deg): 60.00 60.00 60.00
Positions (direct):
Cs 0.1250 0.1250 0.1250
Cs 0.1250 0.1250 0.6250
Cs 0.1250 0.6250 0.1250
Cs 0.6250 0.1250 0.1250
Rb 0.5000 0.5000 0.5000
Hg 0.7500 0.7500 0.7500


Record 22
DFT (PBE-GGA) results for a relaxed Tm5InAu crystal.

magnetic moment: 0.00 μB per cell
DOS at the Fermi energy: 16.2 states/eV/cell
DFT formation energy: -1.66 eV per formula unit

a b c (Å): 6.4168 6.4168 9.8472
angles (deg): 93.10 93.10 91.93
Positions (direct):
Tm 0.0686 0.6173 0.3428
Tm 0.1403 0.8597 0.7500
Tm 0.2288 0.3968 0.9961
Tm 0.3827 0.9314 0.1572
Tm 0.3968 0.2288 0.4961
Tm 0.6032 0.7712 0.5039
Tm 0.6173 0.0686 0.8428
Tm 0.7712 0.6032 0.0039
Tm 0.8597 0.1403 0.2500
Tm 0.9314 0.3827 0.6572
In 0.4735 0.5265 0.7500
In 0.5265 0.4735 0.2500
Au 0.0000 0.0000 0.0000
Au 0.0000 0.0000 0.5000


Record 23
DFT (PBE-GGA) results for a relaxed K3AgSe crystal.

magnetic moment: 0.00 μB per cell
DOS at the Fermi energy: 0.0 states/eV/cell
uncorrected formation energy: -0.52 eV per atom

a b c (Å): 6.2432 6.2432 6.2432
angles (deg): 90.00 90.00 90.00
Positions (direct):
K 0.0000 0.0000 0.5000
K 0.0000 0.5000 0.0000
K 0.5000 0.0000 0.0000
Ag 0.5000 0.5000 0.5000
Se 0.0000 0.0000 0.0000


Record 24
DFT (PBE-GGA) results for a relaxed SrMgTiP2O8 crystal.

magnetic moment: 0.00 μB per cell
uncorrected formation energy: -2.57 eV per atom

a b c (Å): 5.6592 6.6245 9.5016
angles (deg): 106.86 104.61 97.63
Positions (direct):
Sr 0.2170 0.2401 0.4504
Sr 0.7830 0.7599 0.5496
Mg 0.3529 0.2702 0.8575
Mg 0.6471 0.7298 0.1425
Ti 0.0568 0.8343 0.9513
Ti 0.9432 0.1657 0.0487
P 0.1556 0.6796 0.2660
P 0.4470 0.7710 0.7989
P 0.5530 0.2290 0.2011
P 0.8444 0.3204 0.7340
O 0.0144 0.3095 0.8894
O 0.0666 0.8276 0.3922
O 0.1040 0.4430 0.2614
O 0.2729 0.9376 0.8209
O 0.2791 0.0895 0.1510
O 0.3771 0.6267 0.6312
O 0.4317 0.6459 0.9154
O 0.4383 0.7609 0.2894
O 0.5617 0.2391 0.7106
O 0.5683 0.3541 0.0846
O 0.6229 0.3733 0.3688
O 0.7209 0.9105 0.8490
O 0.7271 0.0624 0.1791
O 0.8960 0.5570 0.7386
O 0.9334 0.1724 0.6078
O 0.9856 0.6905 0.1106